A relaxed structure of MgAgW2O8. Source: the Alexandria database, functional GGA+U.

D(E_F), states/eV/atom: 0.19
Volume, Å³ per cell: 168.7
Energy, eV per atom: -6.480

Lattice parameters (Å, degrees): 6.0294 6.0294 6.0294 109.21 109.21 109.99
Each line ends with the local moment (μB).
Atoms (fractional coordinates):
Ag  0.0000  0.0000  0.0000  0.48
W  0.7500  0.2500  0.5000  0.07
W  0.5000  0.5000  0.0000  0.00
O  0.4347  0.6495  0.7852  0.01
O  0.9150  0.2133  0.2983  0.09
O  0.3833  0.0850  0.2983  0.09
O  0.3505  0.1357  0.7852  0.01
O  0.7867  0.0850  0.7017  0.09
O  0.3505  0.5653  0.2148  0.01
O  0.8643  0.6495  0.2148  0.01
O  0.9150  0.6167  0.7017  0.09
Mg  0.2500  0.7500  0.5000  0.00